No. 1
A PBEsol-optimized structure of LiMg5. Source: the Alexandria database, functional SCAN.

Cell lengths 3.139, 5.068, 8.300 Å; angles 90.00, 101.04, 90.00 degrees
Space group Pm (No. 6)
Asymmetric unit:
1 Li 0.000 0.000 0.000 x1
2 Mg 0.222 0.500 0.445 x1
3 Mg 0.335 0.000 0.670 x1
4 Mg 0.555 0.500 0.109 x1
5 Mg 0.664 0.000 0.330 x1
6 Mg 0.891 0.500 0.781 x1

Calculated values
Spin magnetization   0.07 μB per formula unit
Polymorph energy (0 for the lowest one)   14 meV/atom



No. 2
A PBEsol-optimized structure of LiMg2. Source: the Alexandria database, functional SCAN.

Cell lengths 8.294, 8.294, 8.294 Å; angles 90.00, 90.00, 90.00 degrees
Space group Fd-3m (No. 227, origin choice 2)
Asymmetric unit:
1 Li 0.125 0.125 0.125 x8
2 Mg 0.000 0.000 0.500 x16

Calculated values
Spin magnetization   0.00 μB per formula unit



| no. | Fermi-level density of states (states/eV/f.u.) | energy relative to the elements (eV/atom) | VASP energy (eV/atom) |
| --- | --- | --- | --- |
| 1 | 2.1 | -0.020 | -4.563 |
| 2 | 1.2 | 0.081 | -4.032 |